Entry 1:
Computed, not measured: a relaxed structure of AlTeWN2 at the GGA-PBEsol level of DFT.

Output
Spin magnetization in μB per atom: 0.000
E_tot in eV per atom: -7.3537
Raw formation energy in meV per atom: 342
Space group: P4/mmm, No. 123

Lattice parameters (Å, degrees): 3.932 3.932 5.565 90.00 90.00 90.00
Fractional coordinates of all 5 atoms:
N 0.000 0.500 0.000
W 0.000 0.000 0.000
N 0.500 0.000 0.000
Al 0.500 0.500 0.500
Te 0.000 0.000 0.500

---

Entry 2:
Computed, not measured: a relaxed structure of In2BrCl at the GGA-PBEsol level of DFT.

Output
Spin magnetization in μB per atom: 0.000
E_tot in eV per atom: -3.0990
Polymorph energy (0 for the lowest one) in meV/atom: 43
Raw formation energy in meV per atom: -638
Space group: P4mm, No. 99

Lattice parameters (Å, degrees): 4.282 4.282 6.574 90.00 90.00 90.00
Fractional coordinates of all 4 atoms:
In 0.000 0.000 0.908
Cl 0.500 0.500 0.786
In 0.500 0.500 0.344
Br 0.000 0.000 0.462

---

Entry 3:
Computed, not measured: a relaxed structure of Li2TaBe at the GGA-PBEsol level of DFT.

Output
Spin magnetization in μB per atom: 0.000
E_tot in eV per atom: -4.6657
E_form in eV per formula unit: 1.82
Space group: Pmmm, No. 47

Lattice parameters (Å, degrees): 2.957 4.075 4.607 90.00 90.00 90.00
Fractional coordinates of all 4 atoms:
Li 0.000 0.000 0.000
Li 0.500 0.500 0.000
Ta 0.500 0.000 0.500
Be 0.000 0.500 0.500

---

Entry 4:
Computed, not measured: a relaxed structure of P2SNF at the GGA-PBEsol level of DFT.

Output
Spin magnetization in μB per atom: 0.000
E_tot in eV per atom: -4.5140
Raw formation energy in meV per atom: 770
Space group: P4/mmm, No. 123

Lattice parameters (Å, degrees): 3.963 4.070 4.070 90.00 90.00 90.00
Fractional coordinates of all 5 atoms:
N 0.000 0.000 0.000
P 0.000 0.000 0.500
P 0.000 0.500 0.000
F 0.500 0.500 0.500
S 0.500 0.000 0.000

---

Entry 5:
Computed, not measured: a relaxed structure of Hf3N2O3 at the GGA-PBEsol level of DFT.

Output
Spin magnetization in μB per atom: 0.000
E_tot in eV per atom: -10.8706
Polymorph energy (0 for the lowest one) in meV/atom: 0
Raw formation energy in meV per atom: -2832
Space group: Cmcm, No. 63

Lattice parameters (Å, degrees): 4.013 5.592 10.446 90.00 90.00 111.03
Fractional coordinates of all 16 atoms:
O 0.247 0.495 0.750
N 0.301 0.602 0.421
Hf 0.856 0.712 0.057
O 0.956 0.913 0.616
O 0.956 0.913 0.884
O 0.753 0.505 0.250
Hf 0.808 0.615 0.750
O 0.044 0.087 0.384
N 0.699 0.398 0.579
Hf 0.144 0.288 0.943
Hf 0.144 0.288 0.557
N 0.301 0.602 0.079
O 0.044 0.087 0.116
Hf 0.856 0.712 0.443
N 0.699 0.398 0.921
Hf 0.192 0.385 0.250

---

Entry 6:
Computed, not measured: a relaxed structure of Mo2IrRh at the GGA-PBEsol level of DFT.

Output
Spin magnetization in μB per atom: 0.000
E_tot in eV per atom: -10.5148
E_form in eV per formula unit: -0.56
Polymorph energy (0 for the lowest one) in meV/atom: 146
Space group: I-4m2, No. 119

Lattice parameters (Å, degrees): 3.870 3.870 4.730 114.15 114.15 90.00
Fractional coordinates of all 4 atoms:
Rh 0.500 0.500 0.000
Ir 0.750 0.250 0.500
Mo 0.000 0.000 0.000
Mo 0.250 0.750 0.500

---

Entry 7:
Computed, not measured: a relaxed structure of InHg2Cl at the GGA-PBEsol level of DFT.

Output
Spin magnetization in μB per atom: 0.000
E_tot in eV per atom: -1.8237
Polymorph energy (0 for the lowest one) in meV/atom: 32
Raw formation energy in meV per atom: -293
Space group: P4mm, No. 99

Lattice parameters (Å, degrees): 3.664 3.664 7.535 90.00 90.00 90.00
Fractional coordinates of all 4 atoms:
Cl 0.500 0.500 0.722
Hg 0.000 0.000 0.012
Hg 0.500 0.500 0.244
In 0.000 0.000 0.522

---

Entry 8:
Computed, not measured: a relaxed structure of BaAs2Cl at the GGA-PBEsol level of DFT.

Output
Spin magnetization in μB per atom: 0.001
E_tot in eV per atom: -4.2878
Polymorph energy (0 for the lowest one) in meV/atom: 346
Raw formation energy in meV per atom: -695
Space group: P4/mmm, No. 123

Lattice parameters (Å, degrees): 4.709 4.711 5.916 90.00 90.00 90.00
Fractional coordinates of all 4 atoms:
Ba 0.500 0.500 0.000
As 0.000 0.000 0.190
As 0.000 0.000 0.810
Cl 0.500 0.500 0.500

---

Entry 9:
Computed, not measured: a relaxed structure of SmP3O9 at the GGA-PBEsol level of DFT.

Output
Spin magnetization in μB per atom: 0.000
E_tot in eV per atom: -7.8923
Raw formation energy in meV per atom: -2530
Space group: C222_1, No. 20

Lattice parameters (Å, degrees): 6.986 6.986 7.246 90.00 90.00 105.51
Fractional coordinates of all 26 atoms:
O 0.752 0.972 0.047
O 0.290 0.676 0.036
O 0.034 0.287 0.038
O 0.710 0.324 0.536
P 0.163 0.811 0.456
O 0.630 0.670 0.830
O 0.370 0.330 0.330
Sm 0.621 0.621 0.500
P 0.837 0.189 0.956
O 0.713 0.966 0.462
P 0.750 0.750 0.000
O 0.125 0.875 0.250
P 0.250 0.250 0.500
P 0.811 0.163 0.544
O 0.972 0.752 0.953
O 0.330 0.370 0.670
Sm 0.379 0.379 0.000
O 0.248 0.028 0.547
O 0.670 0.630 0.170
P 0.189 0.837 0.044
O 0.676 0.290 0.964
O 0.324 0.710 0.464
O 0.028 0.248 0.453
O 0.966 0.713 0.538
O 0.875 0.125 0.750
O 0.287 0.034 0.962

---

Entry 10:
Computed, not measured: a relaxed structure of BaNiAg2 at the GGA-PBEsol level of DFT.

Output
Spin magnetization in μB per atom: 0.000
E_tot in eV per atom: -3.5479
E_form in eV per formula unit: 0.74
Polymorph energy (0 for the lowest one) in meV/atom: 18
Space group: Pm, No. 6

Lattice parameters (Å, degrees): 3.856 4.018 6.213 90.00 106.33 90.00
Fractional coordinates of all 4 atoms:
Ba 0.490 0.000 0.575
Ni 0.087 0.500 0.788
Ag 0.200 0.000 0.046
Ag 0.723 0.500 0.092

---

Entry 11:
Computed, not measured: a relaxed structure of BeOs2 at the GGA-PBEsol level of DFT.

Output
Spin magnetization in μB per atom: 0.000
E_tot in eV per atom: -9.3482
E_form in eV per formula unit: 0.39
Space group: P-3m1, No. 164

Lattice parameters (Å, degrees): 2.688 3.991 3.991 120.00 90.00 90.00
Fractional coordinates of all 3 atoms:
Os 0.749 0.333 0.667
Be 0.000 0.000 0.000
Os 0.251 0.667 0.333

---

Entry 12:
Computed, not measured: a relaxed structure of MgTaAs2 at the GGA-PBEsol level of DFT.

Output
Spin magnetization in μB per atom: 0.000
E_tot in eV per atom: -6.1907
E_form in eV per formula unit: -0.28
Space group: I-4m2, No. 119

Lattice parameters (Å, degrees): 3.778 3.778 5.536 109.95 109.95 90.00
Fractional coordinates of all 4 atoms:
Ta 0.250 0.750 0.500
As 0.000 0.000 0.000
Mg 0.500 0.500 0.000
As 0.750 0.250 0.500

---

Entry 13:
Computed, not measured: a relaxed structure of LiP2SCl at the GGA-PBEsol level of DFT.

Output
Spin magnetization in μB per atom: 0.000
E_tot in eV per atom: -3.3105
Polymorph energy (0 for the lowest one) in meV/atom: 394
Raw formation energy in meV per atom: 678
Space group: P4/mmm, No. 123

Lattice parameters (Å, degrees): 4.049 4.518 4.518 90.00 90.00 90.00
Fractional coordinates of all 5 atoms:
P 0.000 0.000 0.500
Cl 0.500 0.000 0.000
P 0.000 0.500 0.000
Li 0.000 0.000 0.000
S 0.500 0.500 0.500

---

Entry 14:
Computed, not measured: a relaxed structure of Ga3CF at the GGA-PBEsol level of DFT.

Output
Spin magnetization in μB per atom: 0.000
E_tot in eV per atom: -3.9952
Raw formation energy in meV per atom: 323
Space group: Pm-3m, No. 221

Lattice parameters (Å, degrees): 4.271 4.271 4.271 90.00 90.00 90.00
Fractional coordinates of all 5 atoms:
C 0.000 0.000 0.000
Ga 0.500 0.000 0.000
Ga 0.000 0.000 0.500
F 0.500 0.500 0.500
Ga 0.000 0.500 0.000

---

Entry 15:
Computed, not measured: a relaxed structure of Mg2OsCl at the GGA-PBEsol level of DFT.

Output
Spin magnetization in μB per atom: 0.000
E_tot in eV per atom: -4.5460
Polymorph energy (0 for the lowest one) in meV/atom: 0
Raw formation energy in meV per atom: -132
Space group: Cmmm, No. 65

Lattice parameters (Å, degrees): 2.999 2.999 8.047 90.00 90.00 110.81
Fractional coordinates of all 4 atoms:
Mg 0.000 0.000 0.740
Cl 0.500 0.500 0.000
Mg 0.000 0.000 0.260
Os 0.500 0.500 0.500

---

Entry 16:
Computed, not measured: a relaxed structure of MnCdGa2Si at the GGA-PBEsol level of DFT.

Output
Spin magnetization in μB per atom: 0.079
E_tot in eV per atom: -4.4869
Raw formation energy in meV per atom: 190
Space group: P4/mmm, No. 123

Lattice parameters (Å, degrees): 4.349 4.619 4.619 90.00 90.00 90.00
Fractional coordinates of all 5 atoms:
Ga 0.000 0.000 0.500
Cd 0.500 0.500 0.500
Mn 0.000 0.000 0.000
Si 0.500 0.000 0.000
Ga 0.000 0.500 0.000

---

Entry 17:
Computed, not measured: a relaxed structure of YZrTiAu2 at the GGA-PBEsol level of DFT.

Output
Spin magnetization in μB per atom: 0.068
E_tot in eV per atom: -6.2380
E_form in eV per formula unit: 0.89
Space group: P4/mmm, No. 123

Lattice parameters (Å, degrees): 4.572 4.971 4.971 90.00 90.00 90.00
Fractional coordinates of all 5 atoms:
Zr 0.500 0.000 0.000
Y 0.500 0.500 0.500
Ti 0.000 0.000 0.000
Au 0.000 0.000 0.500
Au 0.000 0.500 0.000

---

Entry 18:
Computed, not measured: a relaxed structure of NaLa6OsI12 at the GGA-PBEsol level of DFT.

Output
Spin magnetization in μB per atom: 0.154
E_tot in eV per atom: -4.6543
Raw formation energy in meV per atom: -1310
Space group: R-3, No. 148

Lattice parameters (Å, degrees): 9.939 9.939 9.939 107.20 107.20 107.20
Fractional coordinates of all 20 atoms:
I 0.817 0.424 0.269
La 0.187 0.467 0.394
La 0.813 0.533 0.606
I 0.269 0.817 0.424
Os 0.500 0.500 0.500
I 0.883 0.651 0.965
La 0.467 0.394 0.187
Na 0.000 0.000 0.000
I 0.183 0.576 0.731
I 0.424 0.269 0.817
I 0.965 0.883 0.651
La 0.606 0.813 0.533
I 0.117 0.349 0.035
La 0.533 0.606 0.813
I 0.651 0.965 0.883
I 0.576 0.731 0.183
I 0.035 0.117 0.349
La 0.394 0.187 0.467
I 0.731 0.183 0.576
I 0.349 0.035 0.117

---

Entry 19:
Computed, not measured: a relaxed structure of SbTeMo2P at the GGA-PBEsol level of DFT.

Output
Spin magnetization in μB per atom: 1.011
E_tot in eV per atom: -5.2506
Raw formation energy in meV per atom: 2231
Space group: P4/mmm, No. 123

Lattice parameters (Å, degrees): 5.057 5.057 5.499 90.00 90.00 90.00
Fractional coordinates of all 5 atoms:
Mo 0.000 0.500 0.000
Sb 0.000 0.000 0.000
Te 0.000 0.000 0.500
Mo 0.500 0.000 0.000
P 0.500 0.500 0.500

---

Entry 20:
Computed, not measured: a relaxed structure of CsCa2HgSb at the GGA-PBEsol level of DFT.

Output
Spin magnetization in μB per atom: 0.000
E_tot in eV per atom: -2.0790
Raw formation energy in meV per atom: -12
Space group: P4/mmm, No. 123

Lattice parameters (Å, degrees): 5.827 5.827 6.061 90.00 90.00 90.00
Fractional coordinates of all 5 atoms:
Hg 0.000 0.000 0.000
Ca 0.500 0.000 0.000
Ca 0.000 0.500 0.000
Cs 0.000 0.000 0.500
Sb 0.500 0.500 0.500

---

Entry 21:
Computed, not measured: a relaxed structure of Mg3Zr at the GGA-PBEsol level of DFT.

Output
Spin magnetization in μB per atom: 0.000
E_tot in eV per atom: -3.4902
E_form in eV per formula unit: 0.28
Space group: Cmmm, No. 65

Lattice parameters (Å, degrees): 2.909 5.740 5.740 114.22 90.00 90.00
Fractional coordinates of all 4 atoms:
Zr 0.000 0.000 0.000
Mg 0.500 0.000 0.500
Mg 0.500 0.500 0.000
Mg 0.000 0.500 0.500

---

Entry 22:
Computed, not measured: a relaxed structure of NbNi4P16 at the GGA-PBEsol level of DFT.

Output
Spin magnetization in μB per atom: 0.000
E_tot in eV per atom: -6.4930
E_form in eV per formula unit: -8.24
Space group: C2/c, No. 15

Lattice parameters (Å, degrees): 5.651 10.189 11.104 100.27 90.00 106.10
Fractional coordinates of all 42 atoms:
P 0.738 0.991 0.395
Ni 0.799 0.785 0.426
P 0.604 0.285 0.542
P 0.986 0.716 0.721
P 0.624 0.246 0.338
Ni 0.201 0.215 0.574
P 0.681 0.285 0.042
Ni 0.695 0.499 0.130
Ni 0.987 0.785 0.926
P 0.014 0.284 0.279
P 0.443 0.554 0.687
P 0.747 0.009 0.105
P 0.110 0.554 0.187
P 0.144 0.424 0.552
Ni 0.804 0.499 0.630
P 0.557 0.446 0.313
P 0.988 0.874 0.131
Nb 0.605 0.000 0.750
P 0.271 0.284 0.779
P 0.280 0.424 0.052
P 0.012 0.126 0.869
P 0.262 0.009 0.605
P 0.378 0.754 0.162
Ni 0.013 0.215 0.074
P 0.729 0.716 0.221
P 0.396 0.715 0.458
P 0.253 0.991 0.895
P 0.720 0.576 0.948
P 0.659 0.873 0.920
Ni 0.305 0.501 0.870
P 0.214 0.873 0.420
P 0.890 0.446 0.813
P 0.622 0.246 0.838
P 0.376 0.754 0.662
P 0.114 0.126 0.369
P 0.786 0.127 0.580
P 0.886 0.874 0.631
P 0.341 0.127 0.080
P 0.319 0.715 0.958
Ni 0.196 0.501 0.370
P 0.856 0.576 0.448
Nb 0.395 0.000 0.250

---

Entry 23:
Computed, not measured: a relaxed structure of BeAgAu2 at the GGA-PBEsol level of DFT.

Output
Spin magnetization in μB per atom: 0.000
E_tot in eV per atom: -3.7489
E_form in eV per formula unit: 0.16
Space group: P4/mmm, No. 123

Lattice parameters (Å, degrees): 3.742 4.017 4.017 90.00 90.00 90.00
Fractional coordinates of all 4 atoms:
Be 0.500 0.500 0.500
Au 0.000 0.500 0.000
Au 0.000 0.000 0.500
Ag 0.500 0.000 0.000

---

Entry 24:
Computed, not measured: a relaxed structure of YTaIn2Te at the GGA-PBEsol level of DFT.

Output
Spin magnetization in μB per atom: 0.000
E_tot in eV per atom: -5.2190
Raw formation energy in meV per atom: 554
Space group: P4/mmm, No. 123

Lattice parameters (Å, degrees): 5.311 5.364 5.364 90.00 90.00 90.00
Fractional coordinates of all 5 atoms:
Te 0.500 0.500 0.500
In 0.000 0.500 0.000
Ta 0.000 0.000 0.000
In 0.000 0.000 0.500
Y 0.500 0.000 0.000

---

Entry 25:
Computed, not measured: a relaxed structure of LiHf2BeB at the GGA-PBEsol level of DFT.

Output
Spin magnetization in μB per atom: 0.000
E_tot in eV per atom: -6.5326
E_form in eV per formula unit: 1.33
Space group: P4/mmm, No. 123

Lattice parameters (Å, degrees): 3.926 4.480 4.480 90.00 90.00 90.00
Fractional coordinates of all 5 atoms:
Hf 0.000 0.500 0.000
Hf 0.000 0.000 0.500
Be 0.500 0.500 0.500
B 0.000 0.000 0.000
Li 0.500 0.000 0.000